Entry 1:
{
  "formula": "SrCd2O",
  "functional": "PBE-GGA",
  "state": "optimized geometry",
  "dft_energy_ev_per_atom": -2.8944,
  "e_form_raw_ev_per_atom": -0.78,
  "lattice_angstrom": [[8.6676, 0.0000, 0.0000], [0.0000, 8.6676, 0.0000], [0.0000, 0.0000, 5.0128]],
  "species": ["Sr", "Sr", "Sr", "Sr", "Cd", "Cd", "Cd", "Cd", "Cd", "Cd", "Cd", "Cd", "O", "O", "O", "O"],
  "fractional_positions": [[0.0000, 0.0000, 0.0000], [0.0000, 0.5000, 0.2500], [0.5000, 0.0000, 0.7500], [0.5000, 0.5000, 0.5000], [0.1729, 0.2500, 0.6250], [0.2500, 0.6729, 0.8750], [0.2500, 0.8271, 0.3750], [0.3271, 0.2500, 0.1250], [0.6729, 0.7500, 0.1250], [0.7500, 0.1729, 0.3750], [0.7500, 0.3271, 0.8750], [0.8271, 0.7500, 0.6250], [0.0000, 0.0000, 0.5000], [0.0000, 0.5000, 0.7500], [0.5000, 0.0000, 0.2500], [0.5000, 0.5000, 0.0000]]
}

Entry 2:
{
  "formula": "Cu2SbW",
  "functional": "PBE-GGA",
  "state": "optimized geometry",
  "dft_energy_ev_per_atom": -5.8236,
  "e_form_raw_ev_per_atom": 0.49,
  "lattice_angstrom": [[2.9954, 0.0000, 0.0000], [0.0000, 3.8590, 0.0000], [0.0000, 0.0000, 5.5358]],
  "species": ["Cu", "Cu", "Sb", "W"],
  "fractional_positions": [[0.0000, 0.0000, 0.2243], [0.0000, 0.0000, 0.7757], [0.5000, 0.5000, 0.5000], [0.5000, 0.5000, 0.0000]]
}

Entry 3:
{
  "formula": "Mg2Tl5In5",
  "functional": "PBE-GGA",
  "state": "optimized geometry",
  "delta_e_f_ev_per_atom": 0.0133,
  "dft_energy_ev_per_atom": -2.3794,
  "lattice_angstrom": [[7.3820, -2.3487, 0.0000], [7.3820, 2.3487, 0.0000], [-4.7135, 0.0000, 9.5091]],
  "species": ["Mg", "Mg", "Tl", "Tl", "Tl", "Tl", "Tl", "In", "In", "In", "In", "In"],
  "fractional_positions": [[0.0868, 0.0868, 0.2547], [0.9132, 0.9132, 0.7453], [0.0000, 0.0000, 0.5000], [0.1584, 0.1584, 0.9935], [0.2532, 0.2532, 0.7511], [0.7468, 0.7468, 0.2489], [0.8416, 0.8416, 0.0065], [0.3286, 0.3286, 0.4976], [0.4312, 0.4312, 0.2564], [0.5000, 0.5000, 0.0000], [0.5688, 0.5688, 0.7436], [0.6714, 0.6714, 0.5024]]
}

Entry 4:
{
  "formula": "Cs3Ca2Cl7",
  "functional": "PBE-GGA",
  "state": "optimized geometry",
  "dft_energy_ev_per_atom": -3.8365,
  "polymorph_energy_mev_per_atom": 24,
  "e_form_raw_ev_per_atom": -2.21,
  "lattice_angstrom": [[2.7500, -13.9130, 0.0000], [2.7500, 13.9130, 0.0000], [0.0000, 0.0000, 5.3880]],
  "species": ["Cs", "Cs", "Cs", "Ca", "Ca", "Cl", "Cl", "Cl", "Cl", "Cl", "Cl", "Cl"],
  "fractional_positions": [[0.0000, 0.0000, 0.0000], [0.1858, 0.8142, 0.0000], [0.8142, 0.1858, 0.0000], [0.4003, 0.5997, 0.5000], [0.5997, 0.4003, 0.5000], [0.0972, 0.9028, 0.5000], [0.3030, 0.6970, 0.5000], [0.4026, 0.5974, 0.0000], [0.5000, 0.5000, 0.5000], [0.5974, 0.4026, 0.0000], [0.6970, 0.3030, 0.5000], [0.9028, 0.0972, 0.5000]]
}

Entry 5:
{
  "formula": "Dy2Ga3Cu4Sn",
  "functional": "PBE-GGA",
  "state": "optimized geometry",
  "delta_e_f_ev_per_atom": -0.3971,
  "dft_energy_ev_per_atom": -4.2643,
  "lattice_angstrom": [[4.1699, 0.0000, 0.0000], [0.0000, 4.1699, 0.0000], [0.0000, 0.0000, 10.3569]],
  "species": ["Dy", "Dy", "Ga", "Ga", "Ga", "Cu", "Cu", "Cu", "Cu", "Sn"],
  "fractional_positions": [[0.0000, 0.5000, 0.2321], [0.5000, 0.0000, 0.7679], [0.0000, 0.5000, 0.8753], [0.5000, 0.0000, 0.1247], [0.5000, 0.5000, 0.5000], [0.0000, 0.0000, 0.0000], [0.0000, 0.5000, 0.6475], [0.5000, 0.0000, 0.3525], [0.5000, 0.5000, 0.0000], [0.0000, 0.0000, 0.5000]]
}

Entry 6:
{
  "formula": "CrSi2W",
  "functional": "PBE-GGA",
  "state": "optimized geometry",
  "dft_energy_ev_per_atom": -8.3392,
  "polymorph_energy_mev_per_atom": 279,
  "e_form_raw_ev_per_atom": 0.02,
  "lattice_angstrom": [[3.6664, 0.0000, 0.0000], [0.0000, 3.6664, 0.0000], [0.0000, 0.0000, 7.9261]],
  "species": ["Cr", "Cr", "Si", "Si", "Si", "Si", "W", "W"],
  "fractional_positions": [[0.0000, 0.0000, 0.0000], [0.5000, 0.5000, 0.5000], [0.0000, 0.0000, 0.5000], [0.0000, 0.5000, 0.7500], [0.5000, 0.0000, 0.2500], [0.5000, 0.5000, 0.0000], [0.0000, 0.5000, 0.2500], [0.5000, 0.0000, 0.7500]]
}

Entry 7:
{
  "formula": "K2AlCl",
  "functional": "PBE-GGA",
  "state": "optimized geometry",
  "dft_energy_ev_per_atom": -2.2131,
  "polymorph_energy_mev_per_atom": 379,
  "e_form_raw_ev_per_atom": -0.27,
  "lattice_angstrom": [[8.3877, 0.0000, 0.0000], [0.0000, 8.3877, 0.0000], [0.0000, 0.0000, 8.3877]],
  "species": ["K", "K", "K", "K", "K", "K", "K", "K", "Al", "Al", "Al", "Al", "Cl", "Cl", "Cl", "Cl"],
  "fractional_positions": [[0.2500, 0.2500, 0.2500], [0.2500, 0.2500, 0.7500], [0.2500, 0.7500, 0.2500], [0.2500, 0.7500, 0.7500], [0.7500, 0.2500, 0.2500], [0.7500, 0.2500, 0.7500], [0.7500, 0.7500, 0.2500], [0.7500, 0.7500, 0.7500], [0.0000, 0.0000, 0.0000], [0.0000, 0.5000, 0.5000], [0.5000, 0.0000, 0.5000], [0.5000, 0.5000, 0.0000], [0.0000, 0.0000, 0.5000], [0.0000, 0.5000, 0.0000], [0.5000, 0.0000, 0.0000], [0.5000, 0.5000, 0.5000]]
}

Entry 8:
{
  "formula": "Ce2PuHfN5",
  "functional": "PBE-GGA",
  "state": "optimized geometry",
  "dft_energy_ev_per_atom": -9.6578,
  "e_form_raw_ev_per_atom": -1.02,
  "lattice_angstrom": [[3.9655, 0.0000, 0.0000], [0.0000, 3.9655, 0.0000], [0.0000, 0.0000, 8.8218]],
  "species": ["Ce", "Ce", "Pu", "Hf", "N", "N", "N", "N", "N"],
  "fractional_positions": [[0.0000, 0.0000, 0.2352], [0.0000, 0.0000, 0.7648], [0.5000, 0.5000, 0.0000], [0.5000, 0.5000, 0.5000], [0.0000, 0.0000, 0.5000], [0.0000, 0.5000, 0.0000], [0.5000, 0.0000, 0.0000], [0.5000, 0.5000, 0.2664], [0.5000, 0.5000, 0.7336]]
}

Which formula does entry 6 have?
CrSi2W